1.
Material: Tl2GaTe
Method: DFT, GGA-PBE
State: relaxed

The energy relative to the elements, uncorrected comes out at 0.022 eV per atom. As for the space group: No. 225. For the density of states at the Fermi level, the calculation gives 3.86 states/eV per cell.

Cell: 5.5730 5.5730 5.5730 Å, 60.00 60.00 60.00°
Closest atoms and distances in Å follow each position.
Fractional coordinates of all 4 atoms:
Tl: 0.2500 0.2500 0.2500  4 Te 3.41, 4 Ga 3.41
Tl: 0.7500 0.7500 0.7500  4 Te 3.41, 4 Ga 3.41
Ga: 0.0000 0.0000 0.0000  8 Tl 3.41
Te: 0.5000 0.5000 0.5000  8 Tl 3.41

***

2.
Material: TlGaTe2
Method: DFT, GGA-PBE
State: relaxed

The energy relative to the elements, uncorrected comes out at -0.220 eV per atom. As for the space group: No. 160. For the density of states at the Fermi level, the calculation gives 1.06 states/eV per cell.

Cell: 8.2517 8.2517 8.2517 Å, 29.53 29.53 29.53°
Closest atoms and distances in Å follow each position.
Fractional coordinates of all 4 atoms:
Tl: 0.0000 0.0000 0.0000  6 Te 3.35-3.43
Ga: 0.8336 0.8336 0.8336  6 Te 2.86-2.92
Te: 0.2356 0.2356 0.2356  3 Ga 2.92
Te: 0.4360 0.4360 0.4360  3 Ga 2.86

***

3.
Material: Tl5Ga2Te5
Method: DFT, GGA-PBE
State: relaxed

The energy relative to the elements, uncorrected comes out at -0.277 eV per atom. As for the space group: No. 12. For the density of states at the Fermi level, the calculation gives 4.27 states/eV per cell.

Cell: 8.1670 8.1670 12.5088 Å, 105.96 105.96 32.38°
Closest atoms and distances in Å follow each position.
Fractional coordinates of all 12 atoms:
Tl: 0.0000 0.0000 0.0000  6 Te 3.48-3.74
Tl: 0.1578 0.1578 0.5696  3 Te 3.29-3.34, 1 Tl 3.53
Tl: 0.2589 0.2589 0.8605  5 Te 3.30-3.65, 1 Tl 3.53
Tl: 0.7411 0.7411 0.1395  5 Te 3.30-3.65, 1 Tl 3.53
Tl: 0.8422 0.8422 0.4304  3 Te 3.29-3.34, 1 Tl 3.53
Ga: 0.4633 0.4633 0.7050  4 Te 2.67-2.80
Ga: 0.5367 0.5367 0.2950  4 Te 2.67-2.80
Te: 0.1411 0.1411 0.2971  2 Ga 2.80
Te: 0.3889 0.3889 0.1234  1 Ga 2.67
Te: 0.5000 0.5000 0.5000  2 Ga 2.78
Te: 0.6111 0.6111 0.8766  1 Ga 2.67
Te: 0.8589 0.8589 0.7029  2 Ga 2.80

***

Short version: M_tot = 0.00; 0.00; 0.00 μB/f.u., in the order given.
Short version: energy = -2.7035; -3.1394; -3.0765 eV per atom, in the order given.